Here is a relaxed FeHRu3 crystal from Alexandria via LeMat-Bulk. Energies are from PBE.

The space group is Pm-3m (No. 221) and the conventional cell measures 4.4122, 4.4122 and 4.4122 Å, with angles of 90.00, 90.00 and 90.00 degrees. Symmetry generates all atoms from Fe at (0.0000, 0.0000, 0.0000), H at (0.5000, 0.5000, 0.5000) and Ru at (0.0000, 0.0000, 0.5000).

As for the energy relative to the lowest polymorph listed for this composition: 1.878 eV per atom. Its magnetization is 0.64 μB per atom.